BaTiSi2Pb | PBEsol | optimized geometry

Its uncorrected formation energy is 1.7191 eV per atom. Its total moment is 0.284 μB per atom. Its crystal system is tetragonal. The polymorph energy (0 for the lowest one) is 36.0 kJ per mole of atoms.

Unit cell a=5.124 b=5.475 c=5.475 alpha=90.00 beta=90.00 gamma=90.00
Site moments in Bohr magnetons follow the coordinates.
Positions (direct):
1 Si 0.000 0.500 0.000  -0.03
2 Si 0.000 0.000 0.500  -0.03
3 Pb 0.500 0.500 0.500  0.02
4 Ba 0.000 0.000 0.000  0.07
5 Ti 0.500 0.000 0.000  1.14